1.
A plane-wave DFT calculation with PBE was carried out for a relaxed structure of BeInPt2.

Cell lengths 5.7123, 5.7123, 5.7123 Å; angles 150.93, 132.60, 56.57 degrees
With the nearest neighbours (Å) after each atom.
Sites, in units of the cell vectors:
Be (0.0000, 0.0000, 0.0000)  2 Pt 2.14
In (0.5000, 0.5000, 0.0000)  4 Be 2.71, 2 In 2.87, 2 Pt 2.89
Pt (0.2127, 0.2127, 0.0000)  1 Be 2.14
Pt (0.7873, 0.7873, 0.0000)  1 Be 2.14



2.
A plane-wave DFT calculation with PBE was carried out for a relaxed structure of BeInPt2.

Cell lengths 4.0601, 4.0601, 3.7090 Å; angles 90.00, 90.00, 90.00 degrees
With the nearest neighbours (Å) after each atom.
Sites, in units of the cell vectors:
Be (0.0000, 0.0000, 0.0000)  8 Pt 2.75, 4 In 2.87
In (0.5000, 0.5000, 0.0000)  8 Pt 2.75, 4 Be 2.87
Pt (0.0000, 0.5000, 0.5000)  4 In 2.75, 4 Be 2.75, 4 Pt 2.87
Pt (0.5000, 0.0000, 0.5000)  4 In 2.75, 4 Be 2.75, 4 Pt 2.87



The winner here is 2, beating the second structure by 0.382 eV/atom.